No. 1
The following is a DFT calculation (PBE-GGA) of a relaxed ThPa3 crystal.

Summary:
- E above lowest polymorph (meV per atom) = 36
- SG = No. 25
- formation energy from the elements (eV per formula unit) = 0.42

Cell lengths 3.258, 5.721, 5.666 Å; angles 90.00, 90.00, 90.00 degrees
Atoms (fractional coordinates):
Pa 0.500 0.500 0.830
Pa 0.500 0.000 0.506
Pa 0.000 0.000 0.000
Th 0.000 0.500 0.331

No. 2
The following is a DFT calculation (PBE-GGA) of a relaxed Th2Pa13 crystal.

Summary:
- SG = No. 166
- formation energy from the elements (eV per formula unit) = 10.75

Cell lengths 8.488, 8.488, 8.900 Å; angles 61.52, 61.52, 60.00 degrees
Atoms (fractional coordinates):
Pa 0.741 0.116 0.403
Pa 0.511 0.151 0.826
Pa 0.489 0.849 0.174
Pa 0.259 0.884 0.597
Pa 0.489 0.489 0.174
Pa 0.849 0.489 0.174
Pa 0.500 0.500 0.500
Pa 0.884 0.259 0.597
Pa 0.511 0.511 0.826
Pa 0.116 0.741 0.403
Pa 0.259 0.259 0.597
Pa 0.741 0.741 0.403
Pa 0.151 0.511 0.826
Th 0.262 0.262 0.214
Th 0.738 0.738 0.786

No. 3
The following is a DFT calculation (PBE-GGA) of a relaxed ThPa6 crystal.

Summary:
- SG = No. 229
- formation energy from the elements (eV per formula unit) = 9.71

Cell lengths 6.599, 6.599, 6.599 Å; angles 109.47, 109.47, 109.47 degrees
Atoms (fractional coordinates):
Pa 0.250 0.750 0.500
Pa 0.500 0.750 0.250
Pa 0.750 0.500 0.250
Pa 0.250 0.500 0.750
Pa 0.750 0.250 0.500
Pa 0.500 0.250 0.750
Th 0.000 0.000 0.000

No. 4
The following is a DFT calculation (PBE-GGA) of a relaxed ThPa4 crystal.

Summary:
- E above lowest polymorph (meV per atom) = 0
- SG = No. 127
- formation energy from the elements (eV per formula unit) = 4.01

Cell lengths 6.092, 10.194, 10.194 Å; angles 90.00, 90.00, 90.00 degrees
Atoms (fractional coordinates):
Pa 0.500 0.395 0.292
Pa 0.500 0.401 0.901
Pa 0.500 0.895 0.208
Pa 0.776 0.500 0.500
Pa 0.500 0.208 0.105
Pa 0.500 0.708 0.395
Pa 0.776 0.000 0.000
Pa 0.500 0.605 0.708
Pa 0.500 0.901 0.599
Pa 0.500 0.105 0.792
Pa 0.500 0.099 0.401
Pa 0.500 0.792 0.895
Pa 0.500 0.292 0.605
Pa 0.224 0.500 0.500
Pa 0.224 0.000 0.000
Pa 0.500 0.599 0.099
Th 0.000 0.276 0.224
Th 0.000 0.724 0.776
Th 0.000 0.224 0.724
Th 0.000 0.776 0.276